(1)
SbPdPtI2: relaxed, PBE.

## Properties
* polymorph energy (0 for the lowest one): 0 meV/atom
* total energy: -3.12 eV/atom
* E_form (uncorrected): 2.834 eV/f.u.

```
SbPdPtI2
1.0
5.6087 0.0000 0.0000
0.0000 5.6087 0.0000
0.0000 0.0000 5.0791
Pt I Pd Sb
1 2 1 1
Direct
0.0000 0.0000 0.0000
0.5000 0.0000 0.0000
0.0000 0.5000 0.0000
0.5000 0.5000 0.5000
0.0000 0.0000 0.5000
```


(2)
PdPtSe2I2: relaxed, PBE.

## Properties
* total energy: -3.49 eV/atom
* E_form (uncorrected): 0.338 eV/f.u.

```
PdPtSe2I2
1.0
-0.6982 -4.2456 3.4085
5.3607 -1.1327 -0.3127
-0.4652 9.1824 6.9222
I Se Pt Pd
4 4 2 2
Direct
0.0883 0.3308 0.6616
0.5733 0.8308 0.6616
0.4267 0.1692 0.3384
0.9117 0.6692 0.3384
0.8390 0.0788 0.1576
0.6814 0.4212 0.8424
0.1610 0.9212 0.8424
0.3186 0.5788 0.1576
0.0000 0.2500 0.0000
0.0000 0.7500 0.0000
0.5000 0.2500 0.0000
0.5000 0.7500 0.0000
```


(3)
Sr6PdPt2I3: relaxed, PBE.

## Properties
* total energy: -3.72 eV/atom
* E_form (uncorrected): -12.646 eV/f.u.

```
Sr6PdPt2I3
1.0
-0.6460 0.7421 7.6571
4.3306 -5.6553 -2.9771
5.3383 6.6259 -1.4878
Pt Sr I Pd
2 6 3 1
Direct
0.6667 0.3333 0.0000
0.3333 0.6667 0.0000
0.2719 0.2719 0.8023
0.5963 0.9341 0.8022
0.9341 0.5963 0.8022
0.0659 0.4037 0.1978
0.7281 0.7281 0.1977
0.4037 0.0659 0.1978
0.1663 0.8337 0.5000
0.5000 0.5000 0.5000
0.8337 0.1663 0.5000
0.0000 0.0000 0.0000
```


(4)
Te2PdPtI: relaxed, PBE.

## Properties
* polymorph energy (0 for the lowest one): 657 meV/atom
* total energy: -2.53 eV/atom
* E_form (uncorrected): 6.434 eV/f.u.

```
Te2PdPtI
1.0
5.8249 0.0000 0.0000
0.0000 4.9386 0.0000
0.0000 0.0000 5.8249
Te Pd Pt I
2 1 1 1
Direct
0.0000 0.0000 0.5000
0.5000 0.0000 0.0000
0.5000 0.5000 0.5000
0.0000 0.5000 0.0000
0.0000 0.0000 0.0000
```


(5)
TePdPtI2: relaxed, PBE.

## Properties
* polymorph energy (0 for the lowest one): 0 meV/atom
* total energy: -2.91 eV/atom
* E_form (uncorrected): 2.934 eV/f.u.

```
TePdPtI2
1.0
5.5489 0.0000 0.0000
0.0000 5.5489 0.0000
0.0000 0.0000 5.1937
I Te Pd Pt
2 1 1 1
Direct
0.0000 0.5000 0.0000
0.5000 0.0000 0.0000
0.0000 0.0000 0.5000
0.5000 0.5000 0.5000
0.0000 0.0000 0.0000
```


(6)
TePdPt2I: relaxed, PBE.

## Properties
* total energy: -3.10 eV/atom
* E_form (uncorrected): 6.454 eV/f.u.

```
TePdPt2I
1.0
-4.6136 -1.5197 0.5693
1.9218 -4.4841 3.6044
-0.4821 2.9219 3.8921
Pt Te Pd I
2 1 1 1
Direct
0.0000 0.0000 0.5000
0.5000 0.0000 0.0000
0.0000 0.5000 0.0000
0.5000 0.5000 0.5000
0.0000 0.0000 0.0000
```


(7)
Te6Pd3PtI2: relaxed, PBE.

## Properties
* total energy: -3.85 eV/atom
* E_form (uncorrected): -2.612 eV/f.u.

```
Te6Pd3PtI2
1.0
-2.1717 -4.9077 -0.7300
1.4673 0.5418 -8.0081
5.6560 -3.5418 4.9535
Te I Pd Pt
6 2 3 1
Direct
0.7817 0.8603 0.1747
0.7817 0.3143 0.1747
0.2183 0.6857 0.8253
0.7648 0.8394 0.6788
0.2352 0.1606 0.3212
0.2183 0.1397 0.8253
0.2615 0.6659 0.3318
0.7385 0.3341 0.6682
0.5000 0.0000 0.5000
0.5000 0.5000 0.5000
0.0000 0.5000 0.0000
0.5000 0.0000 0.0000
```


(8)
Te2PdPtI: relaxed, PBE.

## Properties
* polymorph energy (0 for the lowest one): 0 meV/atom
* total energy: -3.18 eV/atom
* E_form (uncorrected): 3.147 eV/f.u.

```
Te2PdPtI
1.0
5.2879 0.0000 0.0000
0.0000 5.2879 0.0000
0.0000 0.0000 5.5083
Te Pt Pd I
2 1 1 1
Direct
0.0000 0.5000 0.0000
0.5000 0.0000 0.0000
0.0000 0.0000 0.0000
0.5000 0.5000 0.5000
0.0000 0.0000 0.5000
```


(9)
Tl2PdPtI6: relaxed, PBE.

## Properties
* total energy: -2.81 eV/atom
* E_form (uncorrected): -2.849 eV/f.u.

```
Tl2PdPtI6
1.0
7.8374 0.0000 0.0000
3.9187 6.7874 0.0000
3.9187 2.2625 13.4713
I Tl Pd Pt
12 4 2 2
Direct
0.7932 0.2905 0.1231
0.2905 0.7932 0.1231
0.7932 0.7932 0.1231
0.1309 0.6243 0.6206
0.8691 0.3757 0.3794
0.6243 0.6243 0.6206
0.3757 0.3757 0.3794
0.3757 0.8691 0.3794
0.6243 0.1309 0.6206
0.2068 0.2068 0.8769
0.7095 0.2068 0.8769
0.2068 0.7095 0.8769
0.1099 0.1099 0.6704
0.6918 0.6918 0.9247
0.3082 0.3082 0.0753
0.8901 0.8901 0.3296
0.4163 0.4163 0.7512
0.5837 0.5837 0.2488
0.5000 0.5000 0.5000
0.0000 0.0000 0.0000
```


(10)
PdPt2WI: relaxed, PBE.

## Properties
* total energy: -5.21 eV/atom
* E_form (uncorrected): 5.746 eV/f.u.

```
PdPt2WI
1.0
4.9023 0.0000 0.0000
0.0000 4.9681 0.0000
0.0000 0.0000 4.9023
I Pt W Pd
1 2 1 1
Direct
0.5000 0.5000 0.5000
0.5000 0.0000 0.0000
0.0000 0.0000 0.5000
0.0000 0.0000 0.0000
0.0000 0.5000 0.0000
```


(11)
PuPdI6: relaxed, PBE.

## Properties
* total energy: -4.11 eV/atom
* E_form (uncorrected): -4.063 eV/f.u.

```
PuPdI6
1.0
7.3237 0.0090 0.0102
3.6534 6.3454 0.0151
3.6509 2.1095 6.6817
I Pd Pu
6 1 1
Direct
0.7625 0.0830 0.7596
0.9171 0.6051 0.2404
0.2375 0.9170 0.2404
0.0829 0.3949 0.7596
0.3948 0.7625 0.7596
0.6052 0.2375 0.2404
0.0000 0.0000 0.0000
0.5000 0.5000 0.5000
```


(12)
Pu2PdI: relaxed, PBE.

## Properties
* polymorph energy (0 for the lowest one): 19 meV/atom
* total energy: -9.29 eV/atom
* E_form (uncorrected): -1.743 eV/f.u.

```
Pu2PdI
1.0
4.0919 0.0000 0.0000
2.0459 3.5437 0.0000
2.0459 1.1812 8.1716
Pd I Pu
1 1 2
Direct
0.0000 0.0000 0.0000
0.5000 0.5000 0.5000
0.7336 0.7336 0.7992
0.2664 0.2664 0.2008
```


no.,size of the total moment (μB/f.u.)
1,0.00
2,0.00
3,0.00
4,0.06
5,0.14
6,0.00
7,0.00
8,0.00
9,0.00
10,0.00
11,5.47
12,11.36